# 1
Density functional theory data (PBE-GGA) for a relaxed structure of NbBRu2.

Cell and atoms, written as extended XYZ:
```
16
Lattice="6.663 0.000 0.000 0.000 6.663 0.000 0.000 0.000 4.970" Properties=species:S:1:pos:R:3 pbc="T T T"
Nb 0.000 0.000 0.000
Nb 0.000 3.331 1.242
Nb 3.331 0.000 3.727
Nb 3.331 3.331 2.485
B 0.000 0.000 2.485
B 0.000 3.331 3.727
B 3.331 0.000 1.242
B 3.331 3.331 0.000
Ru 1.054 1.666 3.106
Ru 1.666 4.385 4.349
Ru 1.666 5.609 1.864
Ru 2.277 1.666 0.621
Ru 4.385 4.997 0.621
Ru 4.997 1.054 1.864
Ru 4.997 2.277 4.349
Ru 5.609 4.997 3.106
```

Output
* magnetization: 0.00 μB/f.u.
* N(E_F): 0.624 states/eV/atom

# 2
Density functional theory data (PBE-GGA) for a relaxed structure of CdSbRh2.

Cell and atoms, written as extended XYZ:
```
4
Lattice="3.164 0.000 0.000 0.000 3.164 0.000 0.000 0.000 7.730" Properties=species:S:1:pos:R:3 pbc="T T T"
Cd 0.000 0.000 0.000
Sb 1.582 1.582 4.842
Rh 0.000 0.000 3.319
Rh 1.582 1.582 1.662
```

Output
* magnetization: 0.00 μB/f.u.
* N(E_F): 1.387 states/eV/atom

| no. | electronic total energy (Ry/atom) |
| --- | --- |
| 1 | -0.6531 |
| 2 | -0.3642 |